(1)
Here is crystalline Mn3Rh2 at its relaxed geometry from the Alexandria database. Energies are from PBE.

Lattice parameters (Å, degrees): 10.5213 10.5213 10.5213 14.30 14.30 14.30
Positions (direct):
1 Mn 0.0000 0.0000 0.0000
2 Mn 0.1963 0.1963 0.1963
3 Mn 0.8037 0.8037 0.8037
4 Rh 0.4002 0.4002 0.4002
5 Rh 0.5998 0.5998 0.5998

- Formation energy: 89 meV/atom
- Crystal system: trigonal
- ΔE to the lowest computed polymorph: 0.000 eV per atom

(2)
Here is crystalline CeSm3Dy5 at its relaxed geometry from the Alexandria database. Energies are from PBE.

Lattice parameters (Å, degrees): 9.2604 9.2604 12.1702 125.92 125.92 52.74
Positions (direct):
1 Ce 0.1056 0.1056 0.3732
2 Ce 0.8944 0.8944 0.6268
3 Sm 0.0000 0.0000 0.0000
4 Sm 0.0000 0.0000 0.5000
5 Sm 0.1612 0.1612 0.8554
6 Sm 0.3061 0.3061 0.2011
7 Sm 0.6939 0.6939 0.7989
8 Sm 0.8388 0.8388 0.1446
9 Dy 0.0919 0.4868 0.7274
10 Dy 0.3183 0.6817 0.5000
11 Dy 0.3563 0.3563 0.5488
12 Dy 0.4467 0.4467 0.0810
13 Dy 0.4868 0.0919 0.7274
14 Dy 0.5132 0.9081 0.2726
15 Dy 0.5533 0.5533 0.9190
16 Dy 0.6437 0.6437 0.4512
17 Dy 0.6817 0.3183 0.5000
18 Dy 0.9081 0.5132 0.2726

- Formation energy: 428 meV/atom
- Crystal system: monoclinic

(3)
Here is crystalline Pr2Y3Te8 at its relaxed geometry from the Alexandria database. Energies are from PBE.

Lattice parameters (Å, degrees): 8.9526 8.9526 7.6053 106.07 106.07 58.98
Positions (direct):
1 Pr 0.2482 0.2482 0.1690
2 Pr 0.7518 0.7518 0.8310
3 Y 0.2430 0.7570 0.5000
4 Y 0.5000 0.5000 0.0000
5 Y 0.7570 0.2430 0.5000
6 Te 0.1185 0.1185 0.4139
7 Te 0.1353 0.6298 0.0898
8 Te 0.3702 0.8647 0.9102
9 Te 0.3825 0.3825 0.5880
10 Te 0.6175 0.6175 0.4120
11 Te 0.6298 0.1353 0.0898
12 Te 0.8647 0.3702 0.9102
13 Te 0.8815 0.8815 0.5861

- Uncorrected formation energy: -1301 meV per atom
- Crystal system: monoclinic

(4)
Here is crystalline KAlSi2Te8 at its relaxed geometry from the Alexandria database. Energies are from PBE.

Lattice parameters (Å, degrees): 13.6125 13.6125 13.6125 26.73 26.73 26.73
Positions (direct):
1 K 0.0000 0.0000 0.0000
2 Al 0.5000 0.5000 0.5000
3 Si 0.2415 0.2415 0.2415
4 Si 0.7585 0.7585 0.7585
5 Te 0.1669 0.7897 0.3935
6 Te 0.2103 0.6065 0.8331
7 Te 0.3028 0.3028 0.3028
8 Te 0.3935 0.1669 0.7897
9 Te 0.6065 0.8330 0.2103
10 Te 0.6972 0.6972 0.6972
11 Te 0.7897 0.3935 0.1669
12 Te 0.8330 0.2103 0.6065

- Uncorrected formation energy: -100 meV per atom
- Crystal system: trigonal

Ordered density results: 10.0, 7.4, 5.3, 4.2; unit g cm⁻³.